Computed, not measured: a geometry-optimized MoNF2 structure at the GGA-PBEsol level of DFT.

The structure in POSCAR format:
```
MoNF2
1.0
3.689 0.000 0.000
1.845 3.195 0.000
1.845 1.065 3.012
Mo F N
1 2 1
direct
0.500 0.500 0.500
0.750 0.750 0.750
0.250 0.250 0.250
0.000 0.000 0.000
```

Results
Its raw total energy is -23.65 eV per cell. As for the formation energy (no corrections): 126 meV/atom.